(1)
Here is an optimized crystal structure of Er2Tm3Lu2Ni2Te2 from OQMD. Energies are from PBE-GGA.

## Properties
Excess energy over the best structure of this formula in the dataset (eV/atom): 0.011
Total magnetization (μB per atom): 0.000

```
data_Er2Tm3Lu2Ni2Te2
_space_group_name_H-M_alt 'I m m 2'
_space_group_IT_number 44
_cell_length_a 3.808
_cell_length_b 15.319
_cell_length_c 9.441
_cell_angle_alpha 90.00
_cell_angle_beta 90.00
_cell_angle_gamma 90.00
loop_
_space_group_symop_operation_xyz
'x,y,z'
'-x,-y,z'
'-x,y,z'
'x,-y,z'
'x+1/2,y+1/2,z+1/2'
'-x+1/2,-y+1/2,z+1/2'
'-x+1/2,y+1/2,z+1/2'
'x+1/2,-y+1/2,z+1/2'
loop_
_atom_site_label
_atom_site_fract_x
_atom_site_fract_y
_atom_site_fract_z
Er1 0.000 0.185 0.000
Tm1 0.000 0.365 0.205
Tm2 0.000 0.500 0.624
Lu1 0.000 0.146 0.352
Ni1 0.000 0.264 0.693
Te1 0.000 0.000 0.857
Te2 0.000 0.500 0.962
```

***

(2)
Here is an optimized crystal structure of TbTlCdSe3 from OQMD. Energies are from PBE-GGA.

## Properties
Excess energy over the best structure of this formula in the dataset (eV/atom): 0.039
Total magnetization (μB per atom): 0.000

```
data_TbTlCdSe3
_space_group_name_H-M_alt 'P n m a'
_space_group_IT_number 62
_cell_length_a 12.336
_cell_length_b 4.308
_cell_length_c 12.755
_cell_angle_alpha 90.00
_cell_angle_beta 90.00
_cell_angle_gamma 90.00
loop_
_space_group_symop_operation_xyz
'x,y,z'
'-x,-y,-z'
'-x+1/2,-y,z+1/2'
'x+1/2,y,-z+1/2'
'x+1/2,-y+1/2,-z+1/2'
'-x+1/2,y+1/2,z+1/2'
'-x,y+1/2,-z'
'x,-y+1/2,z'
loop_
_atom_site_label
_atom_site_fract_x
_atom_site_fract_y
_atom_site_fract_z
Tb1 0.031 0.250 0.167
Tl1 0.154 0.250 0.503
Cd1 0.250 0.250 0.799
Se1 0.034 0.750 0.326
Se2 0.090 0.250 0.936
Se3 0.236 0.750 0.673
```

***

(3)
Here is an optimized crystal structure of YBe2Tc from OQMD. Energies are from PBE-GGA.

## Properties
Energy (eV per atom): -5.583
Total magnetization (μB per atom): 0.004

```
data_YBe2Tc
_space_group_name_H-M_alt 'F -4 3 m'
_space_group_IT_number 216
_space_group_name_Hall 'F -4 2 3'
_cell_length_a 6.248
_cell_length_b 6.248
_cell_length_c 6.248
_cell_angle_alpha 90.00
_cell_angle_beta 90.00
_cell_angle_gamma 90.00
loop_
_atom_site_label
_atom_site_fract_x
_atom_site_fract_y
_atom_site_fract_z
Y1 0.000 0.000 0.000
Be1 0.000 0.000 0.500
Be2 0.250 0.250 0.250
Tc1 0.250 0.250 0.750
```

***

(4)
Here is an optimized crystal structure of NdSmAg2Pb2 from OQMD. Energies are from PBE-GGA.

## Properties
Energy (eV per atom): -4.214
Total magnetization (μB per atom): 0.001

```
data_NdSmAg2Pb2
_space_group_name_H-M_alt 'P 3 m 1'
_space_group_IT_number 156
_cell_length_a 4.8843
_cell_length_b 4.8843
_cell_length_c 7.5953
_cell_angle_alpha 90.00
_cell_angle_beta 90.00
_cell_angle_gamma 120.00
loop_
_space_group_symop_operation_xyz
'x,y,z'
'-y,x-y,z'
'-x+y,-x,z'
'-y,-x,z'
'-x+y,y,z'
'x,x-y,z'
loop_
_atom_site_label
_atom_site_fract_x
_atom_site_fract_y
_atom_site_fract_z
Nd1 0.0000 0.0000 0.0000
Sm1 0.0000 0.0000 0.5008
Ag1 0.3333 0.6667 0.1956
Ag2 0.6667 0.3333 0.6903
Pb1 0.3333 0.6667 0.7782
Pb2 0.6667 0.3333 0.2828
```

***

Look up the total magnetization of the second one.
0.000 μB per atom

***

Which formula does entry 1 have?
Er2Tm3Lu2Ni2Te2

***

total magnetization of number 4 (NdSmAg2Pb2)?
0.001 μB per atom

***

Repeat the second record exactly.
Here is an optimized crystal structure of TbTlCdSe3 from OQMD. Energies are from PBE-GGA.

## Properties
Excess energy over the best structure of this formula in the dataset (eV/atom): 0.039
Total magnetization (μB per atom): 0.000

```
data_TbTlCdSe3
_space_group_name_H-M_alt 'P n m a'
_space_group_IT_number 62
_cell_length_a 12.336
_cell_length_b 4.308
_cell_length_c 12.755
_cell_angle_alpha 90.00
_cell_angle_beta 90.00
_cell_angle_gamma 90.00
loop_
_space_group_symop_operation_xyz
'x,y,z'
'-x,-y,-z'
'-x+1/2,-y,z+1/2'
'x+1/2,y,-z+1/2'
'x+1/2,-y+1/2,-z+1/2'
'-x+1/2,y+1/2,z+1/2'
'-x,y+1/2,-z'
'x,-y+1/2,z'
loop_
_atom_site_label
_atom_site_fract_x
_atom_site_fract_y
_atom_site_fract_z
Tb1 0.031 0.250 0.167
Tl1 0.154 0.250 0.503
Cd1 0.250 0.250 0.799
Se1 0.034 0.750 0.326
Se2 0.090 0.250 0.936
Se3 0.236 0.750 0.673
```